Compound: SnPd
Source: Alexandria
Functional: PBE-GGA
Structure: optimized geometry

a = 5.5328 Å, b = 5.5328 Å, c = 5.5328 Å
α = 90.00°, β = 90.00°, γ = 90.00°
Last column: nearest neighbours and their distance in Å.
Space group Fm-3m (No. 225)
Asymmetric unit:
Sn: 0.0000 0.0000 0.0000 [4 per cell]  6 Pd 2.77
Pd: 0.0000 0.0000 0.5000 [4 per cell]  6 Sn 2.77

- E_form: -0.2823 eV/atom
- V: 169.4 Å³ per cell